Here is a relaxed structure of V3ZnN from Alexandria via LeMat-Bulk. Energies are from PBE.

Computed properties:
Volume   18.8 A^3/atom
E_tot   -5.226 eV per atom
M_tot   6.13 μB per cell

Cell: 4.550 4.550 4.550 Å, 90.00 90.00 90.00°
Positions (direct):
V  0.000  0.000  0.500
V  0.500  0.000  0.000
V  0.000  0.500  0.000
Zn  0.000  0.000  0.000
N  0.500  0.500  0.500